GGA+U PmMnS2O8, optimized geometry; calculated volume = 166.9 Å³/f.u.; density of states at the Fermi level = 0.954 states/eV/cell; total DFT energy (no corrections) = -6.7025 eV per atom
1.0
5.427 0.000 0.000
-2.713 4.700 0.000
0.000 0.000 6.542
Pm Mn S O
1 1 2 8
Direct
0.000 0.000 0.500
0.000 0.000 0.000
0.333 0.667 0.706
0.667 0.333 0.294
0.182 0.363 0.779
0.182 0.818 0.779
0.637 0.818 0.779
0.363 0.182 0.221
0.667 0.333 0.520
0.333 0.667 0.480
0.818 0.637 0.221
0.818 0.182 0.221